(1)
VASP calculation (PBE-GGA) on an optimized crystal structure of Pm4AlPt.

extended XYZ file:
```
24
Lattice="0.0000 6.9684 6.9684 6.9684 0.0000 6.9684 6.9684 6.9684 0.0000" Properties=species:S:1:pos:R:3 pbc="T T T"
Pm 3.4842 3.4842 0.7350
Pm 3.4842 0.7350 3.4842
Pm 6.2334 3.4842 3.4842
Pm 6.9684 6.9684 2.5774
Pm 6.9684 2.5774 6.9684
Pm 11.3593 6.9684 6.9684
Pm 8.4004 5.5364 5.5364
Pm 0.7350 3.4842 3.4842
Pm 3.4842 6.2334 3.4842
Pm 3.4842 3.4842 6.2334
Pm 5.5364 8.4004 5.5364
Pm 5.5364 5.5364 8.4004
Pm 8.4004 8.4004 8.4004
Pm 2.5774 6.9684 6.9684
Pm 6.9684 11.3593 6.9684
Pm 6.9684 6.9684 11.3593
Al 11.4927 9.4124 9.4124
Al 9.4124 11.4927 9.4124
Al 9.4124 9.4124 11.4927
Al 11.4927 11.4927 11.4927
Pt 5.4757 5.4757 5.4757
Pt 8.4610 8.4610 5.4757
Pt 8.4610 5.4757 8.4610
Pt 5.4757 8.4610 8.4610
```

## Properties
**Energy above the lowest structure with this stoichiometry**: 0 meV per atom
**Crystal system**: cubic
**E_form**: -0.56 eV per atom
**Density of states at the Fermi level**: 1.08 states/eV per atom

(2)
VASP calculation (PBE-GGA) on an optimized crystal structure of DyMg2Pd2.

extended XYZ file:
```
5
Lattice="4.7619 0.0000 0.0000 -2.3810 4.1240 0.0000 0.0000 0.0000 5.4616" Properties=species:S:1:pos:R:3 pbc="T T T"
Dy 0.0000 0.0000 0.0000
Mg 0.0000 2.7493 1.9635
Mg 2.3810 1.3747 3.4981
Pd 0.0000 2.7493 4.6387
Pd 2.3810 1.3747 0.8229
```

## Properties
**Energy above the lowest structure with this stoichiometry**: 23 meV per atom
**Crystal system**: trigonal
**E_form**: -0.62 eV per atom
**Density of states at the Fermi level**: 0.42 states/eV per atom

(3)
VASP calculation (PBE-GGA) on an optimized crystal structure of Li3Ge3Pt2.

extended XYZ file:
```
32
Lattice="7.4890 0.0000 0.0000 0.0000 14.3499 0.0000 0.0000 0.0000 5.2160" Properties=species:S:1:pos:R:3 pbc="T T T"
Li 0.3088 1.6612 0.4465
Li 0.3088 5.5137 0.4465
Li 1.3350 3.5875 3.4087
Li 2.4095 10.7624 0.8007
Li 3.4357 8.8362 3.0545
Li 3.4357 12.6887 3.0545
Li 4.0533 1.6612 2.1615
Li 4.0533 5.5137 2.1615
Li 5.0795 3.5875 4.4153
Li 6.1540 10.7624 1.8073
Li 7.1802 8.8362 4.7695
Li 7.1802 12.6887 4.7695
Ge 1.1988 10.7624 3.4742
Ge 1.5147 0.7355 2.9635
Ge 1.5147 6.4394 2.9635
Ge 2.2298 7.9105 0.3555
Ge 2.2298 13.6144 0.3555
Ge 2.5457 3.5875 0.8662
Ge 4.9433 10.7624 4.3498
Ge 5.2592 0.7355 4.8605
Ge 5.2592 6.4394 4.8605
Ge 5.9743 7.9105 2.2525
Ge 5.9743 13.6144 2.2525
Ge 6.2902 3.5875 1.7418
Pt 0.7904 8.7388 2.1665
Pt 0.7904 12.7861 2.1665
Pt 2.9541 1.5638 4.7745
Pt 2.9541 5.6112 4.7745
Pt 4.5349 8.7388 0.4415
Pt 4.5349 12.7861 0.4415
Pt 6.6986 1.5638 3.0495
Pt 6.6986 5.6112 3.0495
```

## Properties
**Energy above the lowest structure with this stoichiometry**: 14 meV per atom
**Crystal system**: orthorhombic
**E_form**: -0.49 eV per atom
**Density of states at the Fermi level**: 0.25 states/eV per atom

(4)
VASP calculation (PBE-GGA) on an optimized crystal structure of TaCuMo2.

extended XYZ file:
```
4
Lattice="3.8222 0.0000 0.0000 0.0000 3.8222 0.0000 0.0000 0.0000 4.2454" Properties=species:S:1:pos:R:3 pbc="T T T"
Ta 0.0000 0.0000 0.0000
Cu 1.9111 1.9111 0.0000
Mo 0.0000 1.9111 2.1227
Mo 1.9111 0.0000 2.1227
```

## Properties
**Energy above the lowest structure with this stoichiometry**: 45 meV per atom
**Crystal system**: tetragonal
**E_form**: 0.12 eV per atom
**Density of states at the Fermi level**: 0.88 states/eV per atom

(5)
VASP calculation (PBE-GGA) on an optimized crystal structure of K2LiTcO4.

extended XYZ file:
```
8
Lattice="-2.9804 2.9804 3.6355 2.9804 -2.9804 3.6355 2.9804 2.9804 -3.6355" Properties=species:S:1:pos:R:3 pbc="T T T"
K 0.0000 0.0000 0.0000
K 0.0000 2.9804 1.8177
Li 0.0000 0.0000 3.6355
Tc 2.9804 0.0000 1.8177
O 1.4690 -0.7920 2.4964
O 2.1884 1.5114 1.1391
O 1.5114 3.7724 -1.1391
O 0.7920 1.4690 4.7746
```

## Properties
**Raw formation energy**: -1.604 eV per atom
**Crystal system**: tetragonal
**Density of states at the Fermi level**: 0.05 states/eV per atom